[1]
## Fe2Co3 (PBE)

Data for a geometry-optimized Fe2Co3 structure.

Properties
Uncorrected energy (eV per atom): -7.610
E above lowest polymorph (eV per atom): 0.0654
Theoretical density (g/cm3): 8.5
Formation energy from the elements (eV per atom): 0.038

POSCAR file:
```
Fe2Co3
1.0
10.408 0.003 0.002
10.103 2.501 0.002
10.103 1.233 2.176
Fe Co
2 3
Direct
0.600 0.600 0.600 Fe
0.400 0.400 0.400 Fe
0.199 0.199 0.199 Co
0.801 0.801 0.801 Co
0.000 0.000 0.000 Co
```

=====

[2]
## Fe5Co3 (PBE)

Data for a geometry-optimized Fe5Co3 structure.

Properties
Uncorrected energy (eV per atom): -7.868
E above lowest polymorph (eV per atom): 0.1463
Theoretical density (g/cm3): 8.5
Formation energy from the elements (eV per atom): 0.086

POSCAR file:
```
Fe5Co3
1.0
-4.645 1.414 1.210
-1.917 -3.272 -3.264
-0.093 -2.472 2.532
Co Fe
3 5
Direct
0.500 0.500 0.000 Co
0.244 0.244 0.500 Co
0.756 0.756 0.500 Co
0.000 0.000 0.000 Fe
0.747 0.253 0.500 Fe
0.500 0.000 0.000 Fe
0.253 0.747 0.500 Fe
0.000 0.500 0.000 Fe
```

=====

[3]
## Fe7Co (PBE)

Data for a geometry-optimized Fe7Co structure.

Properties
Uncorrected energy (eV per atom): -8.310
E above lowest polymorph (eV per atom): 0.0024
Theoretical density (g/cm3): 8.1
Formation energy from the elements (eV per atom): -0.017

POSCAR file:
```
Fe7Co
1.0
4.027 0.000 0.000
0.000 4.027 0.000
0.000 0.000 5.677
Fe Co
7 1
Direct
0.000 0.500 0.249 Fe
0.500 0.500 0.000 Fe
0.500 0.000 0.249 Fe
0.500 0.000 0.751 Fe
0.500 0.500 0.500 Fe
0.000 0.500 0.751 Fe
0.000 0.000 0.500 Fe
0.000 0.000 0.000 Co
```

=====

[4]
## Ga2Fe2Co3 (PBE)

Data for a geometry-optimized Ga2Fe2Co3 structure.

Properties
Uncorrected energy (eV per atom): -6.372
Theoretical density (g/cm3): 8.0
Formation energy from the elements (eV per atom): -0.044

POSCAR file:
```
Ga2Fe2Co3
1.0
-2.823 -2.169 -1.905
3.907 -0.880 -0.518
0.343 -2.231 6.338
Fe Ga Co
2 2 3
Direct
0.258 0.129 0.387 Fe
0.742 0.871 0.613 Fe
0.779 0.390 0.168 Ga
0.221 0.610 0.832 Ga
0.498 0.749 0.247 Co
0.502 0.251 0.753 Co
0.000 0.000 0.000 Co
```

=====

[5]
## GaFe6Co2 (PBE)

Data for a geometry-optimized GaFe6Co2 structure.

Properties
Uncorrected energy (eV per atom): -7.402
Theoretical density (g/cm3): 7.7
Formation energy from the elements (eV per atom): 0.155

POSCAR file:
```
GaFe6Co2
1.0
-2.198 2.142 4.620
-5.009 -6.081 -4.634
-1.546 -8.845 -1.704
Co Fe Ga
4 12 2
Direct
0.260 0.256 0.256 Co
0.240 0.744 0.744 Co
0.740 0.744 0.744 Co
0.760 0.256 0.256 Co
0.651 0.617 0.082 Fe
0.536 0.438 0.440 Fe
0.848 0.382 0.918 Fe
0.151 0.082 0.617 Fe
0.036 0.440 0.438 Fe
0.964 0.560 0.562 Fe
0.348 0.918 0.382 Fe
0.849 0.918 0.383 Fe
0.152 0.618 0.082 Fe
0.652 0.082 0.618 Fe
0.349 0.383 0.918 Fe
0.464 0.562 0.560 Fe
0.250 0.002 0.998 Ga
0.750 0.998 0.002 Ga
```

=====

[6]
## GaFe2Co3 (PBE)

Data for a geometry-optimized GaFe2Co3 structure.

Properties
Uncorrected energy (eV per atom): -7.050
Theoretical density (g/cm3): 8.5
Formation energy from the elements (eV per atom): -0.171

POSCAR file:
```
GaFe2Co3
1.0
4.034 0.000 0.000
-2.017 3.493 0.000
0.000 0.000 9.898
Co Fe Ga
6 4 2
Direct
0.667 0.333 0.080 Co
0.333 0.667 0.417 Co
0.333 0.667 0.920 Co
0.667 0.333 0.583 Co
0.000 0.000 0.754 Co
0.000 0.000 0.246 Co
0.000 0.000 0.000 Fe
0.333 0.667 0.166 Fe
0.000 0.000 0.500 Fe
0.667 0.333 0.834 Fe
0.667 0.333 0.333 Ga
0.333 0.667 0.667 Ga
```

=====

[7]
## Ga4FeCo5 (PBE)

Data for a geometry-optimized Ga4FeCo5 structure.

Properties
Uncorrected energy (eV per atom): -5.849
Theoretical density (g/cm3): 8.8
Formation energy from the elements (eV per atom): -0.239

POSCAR file:
```
Ga4FeCo5
1.0
2.874 0.000 0.000
0.000 2.874 0.000
0.000 0.000 14.400
Co Ga Fe
5 4 1
Direct
0.500 0.500 0.299 Co
0.500 0.500 0.096 Co
0.500 0.500 0.500 Co
0.500 0.500 0.904 Co
0.500 0.500 0.701 Co
0.000 0.000 0.399 Ga
0.000 0.000 0.197 Ga
0.000 0.000 0.601 Ga
0.000 0.000 0.803 Ga
0.000 0.000 0.000 Fe
```

=====

[8]
## GaFe4Co5 (PBE)

Data for a geometry-optimized GaFe4Co5 structure.

Properties
Uncorrected energy (eV per atom): -7.252
Theoretical density (g/cm3): 8.4
Formation energy from the elements (eV per atom): -0.011

POSCAR file:
```
GaFe4Co5
1.0
2.891 0.000 0.000
0.000 2.891 0.000
0.000 0.000 13.831
Co Ga Fe
5 1 4
Direct
0.500 0.500 0.695 Co
0.500 0.500 0.500 Co
0.500 0.500 0.305 Co
0.500 0.500 0.895 Co
0.500 0.500 0.105 Co
0.000 0.000 0.000 Ga
0.000 0.000 0.798 Fe
0.000 0.000 0.601 Fe
0.000 0.000 0.202 Fe
0.000 0.000 0.399 Fe
```

=====

[9]
## Ga2FeCo (PBE)

Data for a geometry-optimized Ga2FeCo structure.

Properties
Uncorrected energy (eV per atom): -5.585
Theoretical density (g/cm3): 8.8
Formation energy from the elements (eV per atom): -0.180

POSCAR file:
```
Ga2FeCo
1.0
2.879 0.000 0.000
0.000 4.087 0.000
0.000 0.000 4.087
Ga Co Fe
2 1 1
Direct
0.000 0.500 0.000 Ga
0.000 0.000 0.500 Ga
0.500 0.000 0.000 Co
0.500 0.500 0.500 Fe
```

=====

[10]
## GaFeCo4 (PBE)

Data for a geometry-optimized GaFeCo4 structure.

Properties
Uncorrected energy (eV per atom): -6.713
E above lowest polymorph (eV per atom): 0.0000
Theoretical density (g/cm3): 8.7
Formation energy from the elements (eV per atom): -0.060

POSCAR file:
```
GaFeCo4
1.0
0.493 2.836 -0.451
-3.470 2.433 2.095
5.382 1.006 2.798
Co Fe Ga
4 1 1
Direct
0.837 0.497 0.829 Co
0.329 0.003 0.339 Co
0.163 0.503 0.171 Co
0.671 0.997 0.661 Co
0.500 0.500 0.500 Fe
0.000 0.000 0.000 Ga
```

=====

[11]
## GaFe6Co (PBE)

Data for a geometry-optimized GaFe6Co structure.

Properties
Uncorrected energy (eV per atom): -7.585
Theoretical density (g/cm3): 8.4
Formation energy from the elements (eV per atom): 0.028

POSCAR file:
```
GaFe6Co
1.0
4.113 0.000 0.000
0.000 4.610 -2.152
0.000 -0.506 5.063
Co Fe Ga
1 6 1
Direct
0.500 0.167 0.833 Co
0.000 0.839 0.681 Fe
0.000 0.319 0.161 Fe
0.500 0.163 0.327 Fe
0.000 0.841 0.159 Fe
0.500 0.673 0.837 Fe
0.000 0.330 0.670 Fe
0.500 0.668 0.332 Ga
```

=====

[12]
## Ga3Fe9Co2 (PBE)

Data for a geometry-optimized Ga3Fe9Co2 structure.

Properties
Uncorrected energy (eV per atom): -6.970
Theoretical density (g/cm3): 7.9
Formation energy from the elements (eV per atom): 0.134

POSCAR file:
```
Ga3Fe9Co2
1.0
0.516 -3.519 1.644
5.313 -2.982 -3.381
4.764 0.858 5.012
Fe Co Ga
9 2 3
Direct
0.626 0.002 0.747 Fe
0.374 0.253 0.998 Fe
0.850 0.876 0.424 Fe
0.150 0.576 0.124 Fe
0.150 0.124 0.576 Fe
0.000 0.500 0.500 Fe
0.626 0.747 0.002 Fe
0.850 0.424 0.876 Fe
0.374 0.998 0.253 Fe
0.500 0.353 0.647 Co
0.500 0.647 0.353 Co
0.717 0.283 0.283 Ga
0.000 0.000 0.000 Ga
0.283 0.717 0.717 Ga
```

=====

[13]
## Ga6FeCo3 (PBE)

Data for a geometry-optimized Ga6FeCo3 structure.

Properties
Uncorrected energy (eV per atom): -4.815
Theoretical density (g/cm3): 7.5
Formation energy from the elements (eV per atom): -0.020

POSCAR file:
```
Ga6FeCo3
1.0
-3.415 4.444 3.542
-5.241 -3.994 -0.733
2.150 -3.198 5.395
Ga Co Fe
12 6 2
Direct
0.651 0.960 0.903 Ga
0.467 0.163 0.598 Ga
0.960 0.903 0.651 Ga
0.598 0.467 0.163 Ga
0.903 0.651 0.960 Ga
0.097 0.349 0.040 Ga
0.533 0.837 0.402 Ga
0.402 0.533 0.837 Ga
0.040 0.097 0.349 Ga
0.349 0.040 0.097 Ga
0.837 0.402 0.533 Ga
0.163 0.598 0.467 Ga
0.323 0.870 0.749 Co
0.251 0.677 0.130 Co
0.130 0.251 0.677 Co
0.870 0.749 0.323 Co
0.749 0.323 0.870 Co
0.677 0.130 0.251 Co
0.000 0.000 0.000 Fe
0.500 0.500 0.500 Fe
```

=====

[14]
## GaFe2Co4 (PBE)

Data for a geometry-optimized GaFe2Co4 structure.

Properties
Uncorrected energy (eV per atom): -6.428
Theoretical density (g/cm3): 7.1
Formation energy from the elements (eV per atom): 0.483

POSCAR file:
```
GaFe2Co4
1.0
4.769 0.000 -1.754
-0.645 4.725 -1.754
0.360 0.412 8.338
Co Fe Ga
8 4 2
Direct
0.075 0.287 0.574 Co
0.251 0.963 0.926 Co
0.499 0.287 0.574 Co
0.037 0.325 0.074 Co
0.037 0.749 0.074 Co
0.713 0.925 0.426 Co
0.713 0.501 0.426 Co
0.675 0.963 0.926 Co
0.875 0.125 0.750 Fe
0.375 0.125 0.250 Fe
0.875 0.625 0.750 Fe
0.875 0.125 0.250 Fe
0.250 0.750 0.500 Ga
0.500 0.500 0.000 Ga
```

=====

[15]
## GaFe12Co6 (PBE)

Data for a geometry-optimized GaFe12Co6 structure.

Properties
Uncorrected energy (eV per atom): -7.293
E above lowest polymorph (eV per atom): 0.3604
Theoretical density (g/cm3): 6.9
Formation energy from the elements (eV per atom): 0.455

POSCAR file:
```
GaFe12Co6
1.0
-2.828 5.725 0.556
-2.601 -0.968 -5.777
-4.882 -2.940 2.933
Co Fe Ga
6 12 1
Direct
0.824 0.824 0.297 Co
0.824 0.297 0.824 Co
0.297 0.824 0.824 Co
0.703 0.176 0.176 Co
0.176 0.176 0.703 Co
0.176 0.703 0.176 Co
0.198 0.483 0.483 Fe
0.867 0.500 0.133 Fe
0.867 0.133 0.500 Fe
0.133 0.500 0.867 Fe
0.500 0.133 0.867 Fe
0.500 0.867 0.133 Fe
0.802 0.517 0.517 Fe
0.517 0.517 0.802 Fe
0.517 0.802 0.517 Fe
0.133 0.867 0.500 Fe
0.483 0.483 0.198 Fe
0.483 0.198 0.483 Fe
0.000 0.000 0.000 Ga
```

=====

[16]
## GaFe2Co6 (PBE)

Data for a geometry-optimized GaFe2Co6 structure.

Properties
Uncorrected energy (eV per atom): -6.692
Theoretical density (g/cm3): 7.9
Formation energy from the elements (eV per atom): 0.263

POSCAR file:
```
GaFe2Co6
1.0
0.579 3.714 1.369
3.515 -0.437 5.544
6.334 0.542 1.695
Co Ga Fe
6 1 2
Direct
0.799 0.457 0.944 Co
0.000 0.237 0.763 Co
0.201 0.056 0.543 Co
0.799 0.944 0.457 Co
0.000 0.763 0.237 Co
0.201 0.543 0.056 Co
0.500 0.500 0.500 Ga
0.393 0.107 0.107 Fe
0.607 0.893 0.893 Fe
```

=====

[17]
## Ga2FeCo (PBE)

Data for a geometry-optimized Ga2FeCo structure.

Properties
Uncorrected energy (eV per atom): -5.169
Theoretical density (g/cm3): 7.5
Formation energy from the elements (eV per atom): 0.236

POSCAR file:
```
Ga2FeCo
1.0
-2.727 5.635 2.081
-5.413 -1.313 -3.537
-5.093 0.916 1.301
Ga Co Fe
4 2 2
Direct
0.113 0.625 0.250 Ga
0.375 0.363 0.750 Ga
0.637 0.125 0.250 Ga
0.875 0.887 0.750 Ga
0.000 0.000 0.000 Co
0.750 0.250 0.500 Co
0.250 0.750 0.500 Fe
0.500 0.500 0.000 Fe
```

=====

[18]
## GaFeCo4 (PBE)

Data for a geometry-optimized GaFeCo4 structure.

Properties
Uncorrected energy (eV per atom): -6.588
E above lowest polymorph (eV per atom): 0.1243
Theoretical density (g/cm3): 8.3
Formation energy from the elements (eV per atom): 0.064

POSCAR file:
```
GaFeCo4
1.0
-1.916 4.072 1.252
-2.002 0.447 4.196
2.030 2.624 3.289
Co Ga Fe
4 1 1
Direct
0.625 0.625 0.625 Co
0.125 0.625 0.625 Co
0.625 0.625 0.125 Co
0.625 0.125 0.625 Co
0.250 0.250 0.250 Ga
0.000 0.000 0.000 Fe
```

=====

[19]
## GaFe12Co6 (PBE)

Data for a geometry-optimized GaFe12Co6 structure.

Properties
Uncorrected energy (eV per atom): -7.654
E above lowest polymorph (eV per atom): 0.0000
Theoretical density (g/cm3): 7.9
Formation energy from the elements (eV per atom): 0.094

POSCAR file:
```
GaFe12Co6
1.0
-5.019 -2.018 2.851
3.308 -1.403 4.949
-0.994 5.573 2.312
Fe Co Ga
12 6 1
Direct
0.818 0.412 0.515 Fe
0.382 0.143 0.055 Fe
0.857 0.945 0.618 Fe
0.515 0.818 0.412 Fe
0.055 0.382 0.143 Fe
0.485 0.182 0.588 Fe
0.945 0.618 0.857 Fe
0.182 0.588 0.485 Fe
0.618 0.857 0.945 Fe
0.412 0.515 0.818 Fe
0.143 0.055 0.382 Fe
0.588 0.485 0.182 Fe
0.733 0.121 0.267 Co
0.121 0.267 0.733 Co
0.879 0.733 0.267 Co
0.267 0.879 0.733 Co
0.267 0.733 0.121 Co
0.733 0.267 0.879 Co
0.000 0.000 0.000 Ga
```

=====

[20]
## Ga2FeCo3 (PBE)

Data for a geometry-optimized Ga2FeCo3 structure.

Properties
Uncorrected energy (eV per atom): -6.184
Theoretical density (g/cm3): 8.7
Formation energy from the elements (eV per atom): -0.212

POSCAR file:
```
Ga2FeCo3
1.0
-1.649 2.106 -1.061
-1.208 -1.867 -1.826
-6.033 -1.790 5.824
Co Fe Ga
3 1 2
Direct
0.000 0.000 0.340 Co
0.000 0.000 0.000 Co
0.000 0.000 0.660 Co
0.500 0.500 0.500 Fe
0.500 0.500 0.830 Ga
0.500 0.500 0.170 Ga
```

=====

[21]
## Ga2Fe2Co (PBE)

Data for a geometry-optimized Ga2Fe2Co structure.

Properties
Uncorrected energy (eV per atom): -5.886
E above lowest polymorph (eV per atom): 0.0600
Theoretical density (g/cm3): 7.8
Formation energy from the elements (eV per atom): 0.131

POSCAR file:
```
Ga2Fe2Co
1.0
7.101 0.000 0.000
0.000 7.101 0.000
0.000 0.000 2.604
Ga Fe Co
4 4 2
Direct
0.820 0.320 0.500 Ga
0.320 0.180 0.500 Ga
0.180 0.680 0.500 Ga
0.680 0.820 0.500 Ga
0.382 0.882 0.000 Fe
0.118 0.382 0.000 Fe
0.618 0.118 0.000 Fe
0.882 0.618 0.000 Fe
0.500 0.500 0.000 Co
0.000 0.000 0.000 Co
```

=====

[22]
## Ga2Fe2Co (PBE)

Data for a geometry-optimized Ga2Fe2Co structure.

Properties
Uncorrected energy (eV per atom): -5.946
E above lowest polymorph (eV per atom): 0.0000
Theoretical density (g/cm3): 7.9
Formation energy from the elements (eV per atom): 0.071

POSCAR file:
```
Ga2Fe2Co
1.0
-4.603 -0.275 4.557
-2.813 -4.926 -3.138
1.722 -2.015 1.619
Fe Co Ga
4 2 4
Direct
0.661 0.839 0.500 Fe
0.839 0.339 0.500 Fe
0.161 0.661 0.500 Fe
0.339 0.161 0.500 Fe
0.500 0.500 0.000 Co
0.000 0.000 0.000 Co
0.140 0.360 0.000 Ga
0.640 0.140 0.000 Ga
0.860 0.640 0.000 Ga
0.360 0.860 0.000 Ga
```

=====

Q: Which DOS at the Fermi energy values were calculated for the entries above? A: 5.40, 10.55, 6.01, 5.31, 4.77, 1.76, 4.45, 6.31, 3.18, 5.61, 9.34, 14.32, 5.51, 6.57, 17.76, 11.94, 2.33, 6.54, 19.60, 1.86, 5.96, 4.83, in states/eV/f.u..